SrSi | PBE | relaxed

Cell lengths 7.3854, 6.9702, 9.1360 Å; angles 90.00, 90.00, 90.00 degrees
Fractional positions:
Sr: 0.0036 0.2500 0.1941
Sr: 0.1997 0.2500 0.6828
Sr: 0.3003 0.7500 0.1828
Sr: 0.4964 0.7500 0.6941
Sr: 0.5036 0.2500 0.3059
Sr: 0.6997 0.2500 0.8172
Sr: 0.8003 0.7500 0.3172
Sr: 0.9964 0.7500 0.8059
Si: 0.1509 0.5746 0.4704
Si: 0.1509 0.9254 0.4704
Si: 0.3492 0.0746 0.9704
Si: 0.3492 0.4254 0.9704
Si: 0.6508 0.5746 0.0296
Si: 0.6508 0.9254 0.0296
Si: 0.8492 0.0746 0.5296
Si: 0.8492 0.4254 0.5296

Calculated values
Theoretical density, g/cm³: 3.3
SG: Pnma (62)
E, Ha/atom: -0.142
ΔE_f (raw), eV/f.u.: -0.63
Total magnetic moment, Bohr magnetons per cell: 0.0


CsPaGaBr6 | PBE | relaxed

Cell lengths 8.3789, 8.3789, 12.4007 Å; angles 90.00, 90.00, 120.00 degrees
Fractional positions:
Cs: 0.3333 0.6667 0.2500
Cs: 0.6667 0.3333 0.7500
Pa: 0.3333 0.6667 0.7500
Pa: 0.6667 0.3333 0.2500
Ga: 0.0000 0.0000 0.0000
Ga: 0.0000 0.0000 0.5000
Br: 0.0750 0.3798 0.6175
Br: 0.0750 0.6952 0.8825
Br: 0.3048 0.3798 0.8825
Br: 0.3048 0.9250 0.6175
Br: 0.3798 0.0750 0.1175
Br: 0.3798 0.3048 0.3825
Br: 0.6202 0.6952 0.6175
Br: 0.6202 0.9250 0.8825
Br: 0.6952 0.0750 0.3825
Br: 0.6952 0.6202 0.1175
Br: 0.9250 0.3048 0.1175
Br: 0.9250 0.6202 0.3825

Calculated values
Theoretical density, g/cm³: 4.0
SG: P-31c (163)
E, Ha/atom: -0.145
ΔE_f (raw), eV/f.u.: -12.11
Total magnetic moment, Bohr magnetons per cell: 2.0


CdIn3Pt3 | PBE | relaxed

Cell lengths 8.1748, 8.1748, 8.1748 Å; angles 90.00, 90.00, 90.00 degrees
Fractional positions:
Cd: 0.0574 0.4426 0.5574
Cd: 0.4426 0.5574 0.0574
Cd: 0.5574 0.0574 0.4426
Cd: 0.9426 0.9426 0.9426
In: 0.1221 0.6221 0.8779
In: 0.1579 0.1579 0.1579
In: 0.2046 0.7954 0.2954
In: 0.2954 0.2046 0.7954
In: 0.3421 0.8421 0.6579
In: 0.3779 0.3779 0.3779
In: 0.6221 0.8779 0.1221
In: 0.6579 0.3421 0.8421
In: 0.7046 0.7046 0.7046
In: 0.7954 0.2954 0.2046
In: 0.8421 0.6579 0.3421
In: 0.8779 0.1221 0.6221
Pt: 0.0116 0.8023 0.6007
Pt: 0.1007 0.4884 0.1977
Pt: 0.1977 0.1007 0.4884
Pt: 0.3023 0.8993 0.9884
Pt: 0.3993 0.5116 0.6977
Pt: 0.4884 0.1977 0.1007
Pt: 0.5116 0.6977 0.3993
Pt: 0.6007 0.0116 0.8023
Pt: 0.6977 0.3993 0.5116
Pt: 0.8023 0.6007 0.0116
Pt: 0.8993 0.9884 0.3023
Pt: 0.9884 0.3023 0.8993

Calculated values
DFT formation energy, eV/atom: -0.348
Theoretical density, g/cm³: 12.7
SG: P2_13 (198)
E, Ha/atom: -0.156
Total magnetic moment, Bohr magnetons per cell: 0.0


VNi2N | PBE | relaxed

Cell lengths 6.5076, 6.5076, 4.0468 Å; angles 90.00, 90.00, 90.00 degrees
Fractional positions:
V: 0.0000 0.0000 0.0000
V: 0.0000 0.5000 0.2500
V: 0.5000 0.0000 0.7500
V: 0.5000 0.5000 0.5000
Ni: 0.1413 0.2500 0.6250
Ni: 0.2500 0.6413 0.8750
Ni: 0.2500 0.8587 0.3750
Ni: 0.3587 0.2500 0.1250
Ni: 0.6413 0.7500 0.1250
Ni: 0.7500 0.1413 0.3750
Ni: 0.7500 0.3587 0.8750
Ni: 0.8587 0.7500 0.6250
N: 0.0000 0.0000 0.5000
N: 0.0000 0.5000 0.7500
N: 0.5000 0.0000 0.2500
N: 0.5000 0.5000 0.0000

Calculated values
Theoretical density, g/cm³: 7.1
SG: I-42d (122)
E, Ha/atom: -0.265
ΔE_f (raw), eV/f.u.: 0.14
Total magnetic moment, Bohr magnetons per cell: 0.5